Entry 1:
DFT (PBE-GGA) results for a geometry-optimized Sc2Co structure.

Cell: 6.7078 6.7078 4.2562 Å, 90.00 90.00 120.00°
Space group P-62m (No. 189)
Asymmetric unit:
Sc 0.0000 0.2622 0.0000 (multiplicity 3)
Sc 0.0000 0.5906 0.5000 (multiplicity 3)
Co 0.0000 0.0000 0.5000 (multiplicity 1)
Co 0.3333 0.6667 0.0000 (multiplicity 2)

Calculated values
Electronic total energy, eV per cell: -61.19
ΔH_f (0 K), meV per atom: -209

Entry 2:
DFT (PBE-GGA) results for a geometry-optimized Ba3Er3ScSe8 structure.

Cell: 8.3138 8.3138 22.5838 Å, 90.00 90.00 120.00°
Space group R-3m (No. 166, hexagonal axes)
Asymmetric unit:
Ba 0.0000 0.5000 0.0000 (multiplicity 9)
Er 0.0000 0.5000 0.5000 (multiplicity 9)
Sc 0.0000 0.0000 0.5000 (multiplicity 3)
Se 0.0000 0.0000 0.2368 (multiplicity 6)
Se 0.0060 0.5030 0.2346 (multiplicity 18)

Calculated values
Electronic total energy, eV per cell: -245.42
Raw formation energy, meV per atom: -1876.1

Entry 3:
DFT (PBE-GGA) results for a geometry-optimized SbSCl structure.

Cell: 6.826 3.938 7.211 Å, 90.00 107.14 90.00°
Space group Cm (No. 8)
Asymmetric unit:
Sb 0.000 0.000 0.000 (multiplicity 2)
S 0.270 0.000 0.795 (multiplicity 2)
Cl 0.247 0.500 0.255 (multiplicity 2)

Calculated values
Electronic total energy, eV per cell: -23.13
Raw formation energy, meV per atom: -489.6

Entry 4:
DFT (PBE-GGA) results for a geometry-optimized Tb6HgIr structure.

Cell: 6.897 6.908 7.494 Å, 90.12 117.23 119.91°
Space group P-1 (No. 2)
Asymmetric unit:
Tb 0.033 0.081 0.254 (multiplicity 2)
Tb 0.302 0.721 0.254 (multiplicity 2)
Tb 0.325 0.547 0.746 (multiplicity 2)
Hg 0.500 0.000 0.000 (multiplicity 1)
Ir 0.500 0.500 0.500 (multiplicity 1)

Calculated values
Electronic total energy, eV per cell: -38.38
ΔH_f (0 K), meV per atom: -180

Entry 5:
DFT (PBE-GGA) results for a geometry-optimized LiCo structure.

Cell: 4.642 4.642 4.642 Å, 90.00 90.00 90.00°
Space group Fm-3m (No. 225)
Asymmetric unit:
Li 0.000 0.000 0.000 (multiplicity 4)
Co 0.000 0.000 0.500 (multiplicity 4)

Calculated values
Electronic total energy, eV per cell: -29.21
ΔH_f (0 K), meV per atom: 858

Entry 6:
DFT (PBE-GGA) results for a geometry-optimized TlZnRh2 structure.

Cell: 3.948 3.948 8.334 Å, 90.00 90.00 90.00°
Space group I-4m2 (No. 119)
Asymmetric unit:
Tl 0.000 0.000 0.000 (multiplicity 2)
Zn 0.000 0.500 0.750 (multiplicity 2)
Rh 0.000 0.000 0.500 (multiplicity 2)
Rh 0.000 0.500 0.250 (multiplicity 2)

Calculated values
Electronic total energy, eV per cell: -36.03
ΔH_f (0 K), meV per atom: 81

Entry 7:
DFT (PBE-GGA) results for a geometry-optimized AcCeTe2S structure.

Cell: 4.675 4.675 16.002 Å, 90.00 90.00 90.00°
Space group P4/nmm (No. 129, origin choice 2)
Asymmetric unit:
Ac 0.250 0.250 0.105 (multiplicity 2)
Ce 0.250 0.250 0.609 (multiplicity 2)
Te 0.250 0.250 0.404 (multiplicity 2)
Te 0.250 0.250 0.794 (multiplicity 2)
S 0.250 0.750 0.000 (multiplicity 2)

Calculated values
Electronic total energy, eV per cell: -56.53
Raw formation energy, meV per atom: -1562.2

Entry 8:
DFT (PBE-GGA) results for a geometry-optimized LaSm7Dy2 structure.

Cell: 8.893 16.162 5.740 Å, 90.00 90.00 90.00°
Space group Cmmm (No. 65)
Asymmetric unit:
La 0.000 0.000 0.000 (multiplicity 2)
Sm 0.000 0.226 0.000 (multiplicity 4)
Sm 0.000 0.500 0.500 (multiplicity 2)
Sm 0.179 0.117 0.500 (multiplicity 8)
Dy 0.000 0.297 0.500 (multiplicity 4)

Calculated values
Electronic total energy, eV per cell: -81.31
Offset from the most stable computed form, eV per atom: 0.6361
ΔH_f (0 K), meV per atom: 651

Entry 9:
DFT (PBE-GGA) results for a geometry-optimized BeNbO2 structure.

Cell: 2.8756 2.8756 17.2886 Å, 90.00 90.00 120.00°
Space group R-3m (No. 166, hexagonal axes)
Asymmetric unit:
Be 0.0000 0.0000 0.0000 (multiplicity 3)
Nb 0.0000 0.0000 0.5000 (multiplicity 3)
O 0.0000 0.0000 0.3870 (multiplicity 6)

Calculated values
Electronic total energy, eV per cell: -90.39
Raw formation energy, meV per atom: -1604.4

Entry 10:
DFT (PBE-GGA) results for a geometry-optimized LaDy6Te8 structure.

Cell: 9.3615 9.3615 18.4952 Å, 90.00 90.00 120.00°
Space group R-3 (No. 148, hexagonal axes)
Asymmetric unit:
La 0.0000 0.0000 0.0000 (multiplicity 3)
Dy 0.0036 0.3810 0.0741 (multiplicity 18)
Te 0.0000 0.0000 0.3248 (multiplicity 6)
Te 0.0077 0.7183 0.0940 (multiplicity 18)

Calculated values
Electronic total energy, eV per cell: -228.90
Offset from the most stable computed form, eV per atom: 0.1399
Raw formation energy, meV per atom: -1241.7

Entry 11:
DFT (PBE-GGA) results for a geometry-optimized Mo3Os4 structure.

Cell: 4.9921 4.9921 4.9828 Å, 90.00 90.00 120.00°
Space group P6/mmm (No. 191)
Asymmetric unit:
Mo 0.0000 0.5000 0.0000 (multiplicity 3)
Os 0.0000 0.0000 0.2592 (multiplicity 2)
Os 0.3333 0.6667 0.5000 (multiplicity 2)

Calculated values
Electronic total energy, eV per cell: -74.55
Offset from the most stable computed form, eV per atom: 0.0131
ΔH_f (0 K), meV per atom: 409

Entry 12:
DFT (PBE-GGA) results for a geometry-optimized NaInTe2Pb structure.

Cell: 5.867 5.867 5.305 Å, 90.00 90.00 90.00°
Space group P4/mmm (No. 123)
Asymmetric unit:
Na 0.000 0.000 0.000 (multiplicity 1)
In 0.000 0.000 0.500 (multiplicity 1)
Te 0.000 0.500 0.500 (multiplicity 2)
Pb 0.500 0.500 0.000 (multiplicity 1)

Calculated values
Electronic total energy, eV per cell: -13.18
Offset from the most stable computed form, eV per atom: 0.0534
Raw formation energy, meV per atom: 174.0

Entry 13:
DFT (PBE-GGA) results for a geometry-optimized PaCrIr structure.

Cell: 3.9603 3.9603 8.6429 Å, 90.00 90.00 120.00°
Space group P-3m1 (No. 164)
Asymmetric unit:
Pa 0.3333 0.6667 0.1050 (multiplicity 2)
Cr 0.3333 0.6667 0.7221 (multiplicity 2)
Ir 0.0000 0.0000 0.3579 (multiplicity 2)

Calculated values
Electronic total energy, eV per cell: -54.49
Offset from the most stable computed form, eV per atom: 0.3823
ΔH_f (0 K), meV per atom: 245

Entry 14:
DFT (PBE-GGA) results for a geometry-optimized La2TmPuAs4 structure.

Cell: 7.327 4.247 7.335 Å, 90.00 109.48 90.00°
Space group P2/m (No. 10)
Asymmetric unit:
La 0.000 0.000 0.000 (multiplicity 1)
La 0.500 0.500 0.000 (multiplicity 1)
Tm 0.000 0.500 0.500 (multiplicity 1)
Pu 0.500 0.000 0.500 (multiplicity 1)
As 0.244 0.000 0.733 (multiplicity 2)
As 0.255 0.500 0.267 (multiplicity 2)

Calculated values
Electronic total energy, eV per cell: -58.38
ΔH_f (0 K), meV per atom: -1390

Entry 15:
DFT (PBE-GGA) results for a geometry-optimized YIr2Pt structure.

Cell: 5.805 7.702 3.060 Å, 90.00 90.00 90.00°
Space group Cmmm (No. 65)
Asymmetric unit:
Y 0.000 0.000 0.000 (multiplicity 2)
Ir 0.250 0.250 0.500 (multiplicity 4)
Pt 0.000 0.500 0.000 (multiplicity 2)

Calculated values
Electronic total energy, eV per cell: -63.08
Offset from the most stable computed form, eV per atom: 0.2221
ΔH_f (0 K), meV per atom: -328

Entry 16:
DFT (PBE-GGA) results for a geometry-optimized Pm4ZrZn5 structure.

Cell: 3.588 3.588 18.018 Å, 90.00 90.00 90.00°
Space group P4/mmm (No. 123)
Asymmetric unit:
Pm 0.000 0.000 0.104 (multiplicity 2)
Pm 0.000 0.000 0.312 (multiplicity 2)
Zr 0.000 0.000 0.500 (multiplicity 1)
Zn 0.500 0.500 0.000 (multiplicity 1)
Zn 0.500 0.500 0.207 (multiplicity 2)
Zn 0.500 0.500 0.419 (multiplicity 2)

Calculated values
Electronic total energy, eV per cell: -36.75
ΔH_f (0 K), meV per atom: -283

Entry 17:
DFT (PBE-GGA) results for a geometry-optimized NaBeNb2Se structure.

Cell: 4.792 4.792 4.885 Å, 90.00 90.00 90.00°
Space group P4/mmm (No. 123)
Asymmetric unit:
Na 0.000 0.000 0.000 (multiplicity 1)
Be 0.500 0.500 0.000 (multiplicity 1)
Nb 0.000 0.500 0.500 (multiplicity 2)
Se 0.000 0.000 0.500 (multiplicity 1)

Calculated values
Electronic total energy, eV per cell: -24.05
Raw formation energy, meV per atom: 924.6